A plane-wave DFT calculation with PBE was carried out for Zr2Ni2Bi after structural relaxation.

As for the calculated volume: 19.63 A^3/atom. Its crystal system is tetragonal. The value obtained for the energy above the most stable polymorph in this dataset is 278 meV/atom. The symmetry is No. 127. Its density of states at the Fermi level is 5.36 states/eV/cell.

Lattice parameters (Å, degrees): 7.749 7.749 3.268 90.00 90.00 90.00
Fractional coordinates of all 10 atoms:
Ni  0.123  0.623  0.500
Ni  0.623  0.877  0.500
Ni  0.877  0.377  0.500
Ni  0.377  0.123  0.500
Bi  0.000  0.000  0.000
Bi  0.500  0.500  0.000
Zr  0.346  0.846  0.000
Zr  0.846  0.654  0.000
Zr  0.654  0.154  0.000
Zr  0.154  0.346  0.000

A plane-wave DFT calculation with PBE was carried out for Zr3NiBi after structural relaxation.

As for the calculated volume: 23.62 A^3/atom. Its crystal system is cubic. The value obtained for the energy above the most stable polymorph in this dataset is 310 meV/atom. The symmetry is No. 221. Its density of states at the Fermi level is 5.13 states/eV/cell.

Lattice parameters (Å, degrees): 4.907 4.907 4.907 90.00 90.00 90.00
Fractional coordinates of all 5 atoms:
Ni  0.000  0.000  0.000
Bi  0.500  0.500  0.500
Zr  0.000  0.500  0.000
Zr  0.000  0.000  0.500
Zr  0.500  0.000  0.000